Record 1
{"formula": "Ce2ZnNi4Ge3", "functional": "GGA-PBE", "state": "optimized geometry", "lattice_angstrom": [[-1.8520, 2.7963, -2.3804], [-1.7604, -3.0157, -2.1730], [-7.6482, 0.0958, 6.0632]], "species": ["Ce", "Ce", "Zn", "Ni", "Ni", "Ni", "Ni", "Ge", "Ge", "Ge"], "fractional_positions": [[0.5000, 0.0000, 0.2462], [0.0000, 0.5000, 0.7538], [0.5000, 0.5000, 0.5000], [0.5000, 0.5000, 0.0000], [0.0000, 0.0000, 0.0000], [0.5000, 0.0000, 0.6321], [0.0000, 0.5000, 0.3679], [0.0000, 0.0000, 0.5000], [0.5000, 0.0000, 0.8730], [0.0000, 0.5000, 0.1270]], "formation_energy_mev_per_atom": -623}

Record 2
{"formula": "Ce2Zn3Ni12Ge", "functional": "GGA-PBE", "state": "optimized geometry", "lattice_angstrom": [[8.4685, 1.2901, 0.9150], [5.3039, 6.7266, 0.9150], [5.3039, 3.0873, 6.0459]], "species": ["Ce", "Ce", "Zn", "Zn", "Zn", "Ni", "Ni", "Ni", "Ni", "Ni", "Ni", "Ni", "Ni", "Ni", "Ni", "Ni", "Ni", "Ge"], "fractional_positions": [[0.6447, 0.6447, 0.6447], [0.3553, 0.3553, 0.3553], [0.5000, 0.0000, 0.0000], [0.0000, 0.5000, 0.0000], [0.0000, 0.0000, 0.5000], [0.4214, 0.4214, 0.8021], [0.8878, 0.8878, 0.4040], [0.4040, 0.8878, 0.8878], [0.8021, 0.4214, 0.4214], [0.8878, 0.4040, 0.8878], [0.4214, 0.8021, 0.4214], [0.5786, 0.5786, 0.1979], [0.1122, 0.1122, 0.5960], [0.5960, 0.1122, 0.1122], [0.1979, 0.5786, 0.5786], [0.1122, 0.5960, 0.1122], [0.5786, 0.1979, 0.5786], [0.0000, 0.0000, 0.0000]], "formation_energy_mev_per_atom": -1}

Record 3
{"formula": "CeNpGe4", "functional": "GGA-PBE", "state": "optimized geometry", "lattice_angstrom": [[5.5690, 0.0000, 0.0000], [2.7845, 4.8229, 0.0000], [2.7845, 1.6076, 4.5471]], "species": ["Np", "Ge", "Ge", "Ge", "Ge", "Ce"], "fractional_positions": [[0.0000, 0.0000, 0.0000], [0.6260, 0.6260, 0.1221], [0.6260, 0.1221, 0.6260], [0.6260, 0.6260, 0.6260], [0.1221, 0.6260, 0.6260], [0.2500, 0.2500, 0.2500]], "formation_energy_mev_per_atom": -231}

Record 4
{"formula": "Ce2NpGe", "functional": "GGA-PBE", "state": "optimized geometry", "lattice_angstrom": [[-0.8777, -3.5587, -2.3345], [3.9604, 0.5720, -2.3610], [2.2407, -2.6044, 3.1277]], "species": ["Np", "Ge", "Ce", "Ce"], "fractional_positions": [[0.5000, 0.5000, 0.5000], [0.5000, 0.0000, 0.0000], [0.0000, 0.0000, 0.5000], [0.0000, 0.5000, 0.0000]], "formation_energy_mev_per_atom": -212, "polymorph_energy_ev_per_atom": 0.0000}

Record 5
{"formula": "CeNpGe", "functional": "GGA-PBE", "state": "optimized geometry", "lattice_angstrom": [[-2.7539, -1.5986, -1.0748], [1.8487, -4.1874, 1.4914], [-2.6984, 2.6401, 2.9874]], "species": ["Np", "Ge", "Ce"], "fractional_positions": [[0.3382, 0.6667, 0.3333], [0.0264, 0.0000, 0.0000], [0.6354, 0.3333, 0.6667]], "formation_energy_mev_per_atom": -91}

Record 6
{"formula": "Ce2NpGe", "functional": "GGA-PBE", "state": "optimized geometry", "lattice_angstrom": [[3.6330, 0.0000, 0.0000], [1.8165, 3.1462, 0.0000], [1.8165, 1.0487, 7.7123]], "species": ["Np", "Ge", "Ce", "Ce"], "fractional_positions": [[0.0000, 0.0000, 0.0000], [0.5000, 0.5000, 0.5000], [0.2647, 0.2647, 0.2058], [0.7353, 0.7353, 0.7942]], "formation_energy_mev_per_atom": 54, "polymorph_energy_ev_per_atom": 0.2665}

Record 7
{"formula": "CeNpGe6", "functional": "GGA-PBE", "state": "optimized geometry", "lattice_angstrom": [[4.2860, 0.0000, 0.0000], [0.0000, 4.2860, 0.0000], [0.0000, 0.0000, 8.5193]], "species": ["Ce", "Np", "Ge", "Ge", "Ge", "Ge", "Ge", "Ge"], "fractional_positions": [[0.0000, 0.0000, 0.0000], [0.0000, 0.0000, 0.5000], [0.5000, 0.5000, 0.0000], [0.5000, 0.5000, 0.5000], [0.5000, 0.0000, 0.2552], [0.5000, 0.0000, 0.7448], [0.0000, 0.5000, 0.2552], [0.0000, 0.5000, 0.7448]], "formation_energy_mev_per_atom": -383}

Record 8
{"formula": "Ce2NpGe4Pt3", "functional": "GGA-PBE", "state": "optimized geometry", "lattice_angstrom": [[4.3163, 0.0000, 0.0000], [0.0000, 4.3163, 0.0000], [0.0000, 0.0000, 11.2197]], "species": ["Ce", "Ce", "Np", "Ge", "Ge", "Ge", "Ge", "Pt", "Pt", "Pt"], "fractional_positions": [[0.5000, 0.0000, 0.2378], [0.0000, 0.5000, 0.7622], [0.5000, 0.5000, 0.5000], [0.5000, 0.5000, 0.0000], [0.0000, 0.0000, 0.0000], [0.5000, 0.0000, 0.6659], [0.0000, 0.5000, 0.3341], [0.0000, 0.0000, 0.5000], [0.5000, 0.0000, 0.8843], [0.0000, 0.5000, 0.1157]], "formation_energy_mev_per_atom": -690}

Record 9
{"formula": "Ce2NpGe3Pt4", "functional": "GGA-PBE", "state": "optimized geometry", "lattice_angstrom": [[-1.5584, -2.5492, -3.1455], [-1.4072, -2.8193, 2.9821], [-9.5976, 5.2875, 0.4699]], "species": ["Ce", "Ce", "Np", "Ge", "Ge", "Ge", "Pt", "Pt", "Pt", "Pt"], "fractional_positions": [[0.5000, 0.0000, 0.2324], [0.0000, 0.5000, 0.7676], [0.5000, 0.5000, 0.5000], [0.0000, 0.0000, 0.5000], [0.5000, 0.0000, 0.8796], [0.0000, 0.5000, 0.1204], [0.5000, 0.5000, 0.0000], [0.0000, 0.0000, 0.0000], [0.5000, 0.0000, 0.6563], [0.0000, 0.5000, 0.3437]], "formation_energy_mev_per_atom": -778}

Record 10
{"formula": "CePuNpGe", "functional": "GGA-PBE", "state": "optimized geometry", "lattice_angstrom": [[4.9509, 0.0000, 0.0000], [2.4755, 4.2876, 0.0000], [2.4755, 1.4292, 4.0424]], "species": ["Np", "Ge", "Ce", "Pu"], "fractional_positions": [[0.0000, 0.0000, 0.0000], [0.5000, 0.5000, 0.5000], [0.2500, 0.2500, 0.2500], [0.7500, 0.7500, 0.7500]], "formation_energy_mev_per_atom": 61}

Record 11
{"formula": "CeGeO", "functional": "GGA-PBE", "state": "optimized geometry", "lattice_angstrom": [[3.8503, 0.0000, -1.1000], [-0.3143, 3.8375, -1.1000], [0.1526, 0.1656, 7.8227]], "species": ["Ce", "Ce", "Ge", "Ge", "O", "O"], "fractional_positions": [[0.3340, 0.3340, 0.6679], [0.6660, 0.6660, 0.3321], [0.0000, 0.5000, 0.0000], [0.5000, 0.0000, 0.0000], [0.2500, 0.7500, 0.5000], [0.7500, 0.2500, 0.5000]], "e_form_raw_ev_per_atom": -2.091}

Record 12
{"formula": "Ce3GeO6", "functional": "GGA-PBE", "state": "optimized geometry", "lattice_angstrom": [[-5.5363, 1.4057, -1.9456], [-0.0369, -5.9869, -4.2204], [-2.8341, -2.4500, 6.2945]], "species": ["Ce", "Ce", "Ce", "Ce", "Ce", "Ce", "Ge", "Ge", "O", "O", "O", "O", "O", "O", "O", "O", "O", "O", "O", "O"], "fractional_positions": [[0.4775, 0.9156, 0.6953], [0.9775, 0.6953, 0.9156], [0.4208, 0.3972, 0.6028], [0.9208, 0.6028, 0.3972], [0.9775, 0.0844, 0.3047], [0.4775, 0.3047, 0.0844], [0.0322, 0.1782, 0.8218], [0.5322, 0.8218, 0.1782], [0.1995, 0.6777, 0.6442], [0.6995, 0.6442, 0.6777], [0.1904, 0.4199, 0.8936], [0.6904, 0.8936, 0.4199], [0.2246, 0.0406, 0.9594], [0.5729, 0.2213, 0.7787], [0.0729, 0.7787, 0.2213], [0.7246, 0.9594, 0.0406], [0.1904, 0.1064, 0.5801], [0.6904, 0.5801, 0.1064], [0.1995, 0.3558, 0.3223], [0.6995, 0.3223, 0.3558]], "e_form_raw_ev_per_atom": -2.918}

Number 1: density 8.0 g/cm3. Number 2: density 7.8 g/cm3. Number 3: density 9.1 g/cm3. Number 4: density 10.4 g/cm3. Number 5: density 11.1 g/cm3. Number 6: density 11.1 g/cm3. Number 7: density 8.6 g/cm3. Number 8: density 11.1 g/cm3. Number 9: density 12.2 g/cm3. Number 10: density 13.4 g/cm3. Number 11: density 6.5 g/cm3. Number 12: density 6.2 g/cm3.